No. 1
Density functional theory data (GGA-PBE) for a relaxed KSc2CuO crystal.

The structure in extended XYZ format:
```
5
Lattice="5.143 0.000 0.000 0.000 5.143 0.000 0.000 0.000 4.514" Properties=species:S:1:pos:R:3 pbc="T T T"
K 0.000 0.000 0.000
Sc 0.000 2.571 0.000
Sc 2.571 0.000 0.000
Cu 0.000 0.000 2.257
O 2.571 2.571 2.257
```

Summary:
For the formation energy (no corrections), the calculation gives 1.7964 eV per atom. The space-group type is P4/mmm. For the magnetic moment, the calculation gives 0.00 μB per atom.

---

No. 2
Density functional theory data (GGA-PBE) for a relaxed KCu3Se4O12 crystal.

The structure in extended XYZ format:
```
20
Lattice="5.588 3.226 2.634 -5.588 3.226 2.634 0.000 -6.453 2.634" Properties=species:S:1:pos:R:3 pbc="T T T"
K 0.000 0.000 0.000
Cu -3.179 -0.947 2.634
Cu -3.179 0.947 5.268
Cu 0.769 3.226 2.634
Se -2.454 -4.251 3.951
Se 0.000 0.000 3.951
Se -2.454 4.251 3.951
Se 4.908 0.000 3.951
O -3.205 -2.674 3.807
O -4.412 0.000 3.951
O -0.713 -4.112 4.095
O -1.802 0.000 3.951
O -3.205 2.674 4.095
O 2.206 -3.821 3.951
O 0.901 -1.561 3.951
O -0.713 4.112 3.807
O 0.901 1.561 3.951
O 3.918 -1.438 3.807
O 2.206 3.821 3.951
O 3.918 1.438 4.095
```

Summary:
For the formation energy (no corrections), the calculation gives -0.4581 eV per atom. The space-group type is R32. For the magnetic moment, the calculation gives 0.00 μB per atom.

---

Which of these has the highest formation energy (no corrections)?
KSc2CuO